# 1
{
  "formula": "Ca4HgIr",
  "functional": "PBE",
  "state": "optimized geometry",
  "cell": [[4.625, -6.822, 0.000], [4.625, 6.822, 0.000], [-2.812, 0.000, 5.649]],
  "species": ["Ca", "Ca", "Ca", "Ca", "Ca", "Ca", "Ca", "Ca", "Hg", "Hg", "Ir", "Ir"],
  "frac_coords": [[0.057, 0.720, 0.926], [0.215, 0.350, 0.681], [0.280, 0.943, 0.574], [0.350, 0.215, 0.181], [0.650, 0.785, 0.819], [0.720, 0.057, 0.426], [0.785, 0.650, 0.319], [0.943, 0.280, 0.074], [0.368, 0.632, 0.250], [0.632, 0.368, 0.750], [0.001, 0.999, 0.750], [0.999, 0.001, 0.250]],
  "ef_mev_per_atom": -408,
  "e_above_lowest_polymorph_ev_per_fu": 0.00,
  "n_ef_per_ev_cell": 7.16
}

# 2
{
  "formula": "Ca3HgIr",
  "functional": "PBE",
  "state": "optimized geometry",
  "cell": [[5.464, 0.000, 0.000], [0.000, 5.464, 0.000], [0.000, 0.000, 5.464]],
  "species": ["Ca", "Ca", "Ca", "Hg", "Ir"],
  "frac_coords": [[0.000, 0.000, 0.500], [0.000, 0.500, 0.000], [0.500, 0.000, 0.000], [0.500, 0.500, 0.500], [0.000, 0.000, 0.000]],
  "ef_mev_per_atom": -272,
  "e_above_lowest_polymorph_ev_per_fu": 0.61,
  "n_ef_per_ev_cell": 1.63
}

# 3
{
  "formula": "CaHg2Ir",
  "functional": "PBE",
  "state": "optimized geometry",
  "cell": [[3.354, 0.000, 0.000], [-1.677, 2.905, 0.000], [0.000, 0.000, 27.408]],
  "species": ["Ca", "Ca", "Ca", "Hg", "Hg", "Hg", "Hg", "Hg", "Hg", "Ir", "Ir", "Ir"],
  "frac_coords": [[0.000, 0.000, 0.000], [0.333, 0.667, 0.667], [0.667, 0.333, 0.333], [0.000, 0.000, 0.244], [0.000, 0.000, 0.756], [0.333, 0.667, 0.423], [0.333, 0.667, 0.910], [0.667, 0.333, 0.090], [0.667, 0.333, 0.577], [0.000, 0.000, 0.500], [0.333, 0.667, 0.167], [0.667, 0.333, 0.833]],
  "ef_mev_per_atom": 273,
  "n_ef_per_ev_cell": 8.83
}

# 4
{
  "formula": "CaHg3Ir",
  "functional": "PBE",
  "state": "optimized geometry",
  "cell": [[5.230, 0.000, 0.000], [0.000, 5.230, 0.000], [0.000, 0.000, 5.230]],
  "species": ["Ca", "Hg", "Hg", "Hg", "Ir"],
  "frac_coords": [[0.000, 0.000, 0.000], [0.000, 0.500, 0.500], [0.500, 0.000, 0.500], [0.500, 0.500, 0.000], [0.500, 0.500, 0.500]],
  "ef_mev_per_atom": 52,
  "e_above_lowest_polymorph_ev_per_fu": 0.00,
  "n_ef_per_ev_cell": 3.11
}

# 5
{
  "formula": "Ca2HgIr",
  "functional": "PBE",
  "state": "optimized geometry",
  "cell": [[8.138, 0.000, 0.000], [0.000, 8.138, 0.000], [0.000, 0.000, 6.005]],
  "species": ["Ca", "Ca", "Ca", "Ca", "Ca", "Ca", "Ca", "Ca", "Hg", "Hg", "Hg", "Hg", "Ir", "Ir", "Ir", "Ir"],
  "frac_coords": [[0.204, 0.250, 0.125], [0.250, 0.704, 0.375], [0.250, 0.796, 0.875], [0.296, 0.250, 0.625], [0.704, 0.750, 0.625], [0.750, 0.204, 0.875], [0.750, 0.296, 0.375], [0.796, 0.750, 0.125], [0.000, 0.000, 0.500], [0.000, 0.500, 0.750], [0.500, 0.000, 0.250], [0.500, 0.500, 0.000], [0.000, 0.000, 0.000], [0.000, 0.500, 0.250], [0.500, 0.000, 0.750], [0.500, 0.500, 0.500]],
  "ef_mev_per_atom": -63,
  "n_ef_per_ev_cell": 7.96
}

# 6
{
  "formula": "CaHg2Ir",
  "functional": "PBE",
  "state": "optimized geometry",
  "cell": [[6.926, 0.000, 0.000], [0.000, 6.926, 0.000], [0.000, 0.000, 6.926]],
  "species": ["Ca", "Ca", "Ca", "Ca", "Hg", "Hg", "Hg", "Hg", "Hg", "Hg", "Hg", "Hg", "Ir", "Ir", "Ir", "Ir"],
  "frac_coords": [[0.000, 0.000, 0.000], [0.000, 0.500, 0.500], [0.500, 0.000, 0.500], [0.500, 0.500, 0.000], [0.250, 0.250, 0.250], [0.250, 0.250, 0.750], [0.250, 0.750, 0.250], [0.250, 0.750, 0.750], [0.750, 0.250, 0.250], [0.750, 0.250, 0.750], [0.750, 0.750, 0.250], [0.750, 0.750, 0.750], [0.000, 0.000, 0.500], [0.000, 0.500, 0.000], [0.500, 0.000, 0.000], [0.500, 0.500, 0.500]],
  "ef_mev_per_atom": -57,
  "n_ef_per_ev_cell": 10.94
}

# 7
{
  "formula": "CaHg2Ir",
  "functional": "PBE",
  "state": "optimized geometry",
  "cell": [[3.573, 0.000, 0.000], [0.000, 4.428, 0.000], [-1.690, 0.000, 5.670]],
  "species": ["Ca", "Hg", "Hg", "Ir"],
  "frac_coords": [[0.000, 0.000, 0.000], [0.274, 0.000, 0.545], [0.651, 0.500, 0.327], [0.426, 0.500, 0.835]],
  "ef_mev_per_atom": -24,
  "n_ef_per_ev_cell": 1.31
}

# 8
{
  "formula": "Ca8Hg2Ir",
  "functional": "PBE",
  "state": "optimized geometry",
  "cell": [[-2.522, 4.514, 7.322], [2.522, -4.514, 7.322], [2.522, 4.514, -7.322]],
  "species": ["Ca", "Ca", "Ca", "Ca", "Ca", "Ca", "Ca", "Ca", "Hg", "Hg", "Ir"],
  "frac_coords": [[0.110, 0.343, 0.767], [0.121, 0.121, 0.000], [0.318, 0.000, 0.318], [0.424, 0.657, 0.767], [0.576, 0.343, 0.233], [0.682, 0.000, 0.682], [0.879, 0.879, 0.000], [0.890, 0.657, 0.233], [0.310, 0.810, 0.500], [0.690, 0.190, 0.500], [0.000, 0.500, 0.500]],
  "ef_mev_per_atom": -187,
  "e_above_lowest_polymorph_ev_per_fu": 1.26,
  "n_ef_per_ev_cell": 11.42
}

# 9
{
  "formula": "Ca3HgIr",
  "functional": "PBE",
  "state": "optimized geometry",
  "cell": [[5.042, -3.258, 0.000], [5.042, 3.258, 0.000], [-4.548, 0.000, 8.287]],
  "species": ["Ca", "Ca", "Ca", "Ca", "Ca", "Ca", "Hg", "Hg", "Ir", "Ir"],
  "frac_coords": [[0.046, 0.046, 0.251], [0.294, 0.294, 0.107], [0.300, 0.300, 0.695], [0.700, 0.700, 0.305], [0.706, 0.706, 0.893], [0.954, 0.954, 0.749], [0.284, 0.716, 0.500], [0.716, 0.284, 0.500], [0.294, 0.706, 0.000], [0.706, 0.294, 0.000]],
  "ef_mev_per_atom": -395,
  "e_above_lowest_polymorph_ev_per_fu": 0.00,
  "n_ef_per_ev_cell": 6.62
}

# 10
{
  "formula": "CaHg2Ir",
  "functional": "PBE",
  "state": "optimized geometry",
  "cell": [[4.376, 0.000, 0.000], [0.000, 4.394, 0.000], [0.000, 0.000, 8.535]],
  "species": ["Ca", "Ca", "Hg", "Hg", "Hg", "Hg", "Ir", "Ir"],
  "frac_coords": [[0.000, 0.000, 0.000], [0.500, 0.500, 0.500], [0.000, 0.500, 0.249], [0.000, 0.500, 0.751], [0.500, 0.000, 0.251], [0.500, 0.000, 0.749], [0.000, 0.000, 0.500], [0.500, 0.500, 0.000]],
  "ef_mev_per_atom": -98,
  "n_ef_per_ev_cell": 3.15
}

# 11
{
  "formula": "CaHg2Ir",
  "functional": "PBE",
  "state": "optimized geometry",
  "cell": [[4.254, 0.000, 0.000], [0.000, 4.316, 0.000], [0.000, 0.000, 9.010]],
  "species": ["Ca", "Ca", "Hg", "Hg", "Hg", "Hg", "Ir", "Ir"],
  "frac_coords": [[0.000, 0.000, 0.000], [0.500, 0.500, 0.500], [0.000, 0.000, 0.497], [0.000, 0.500, 0.248], [0.500, 0.000, 0.748], [0.500, 0.500, 0.997], [0.000, 0.500, 0.751], [0.500, 0.000, 0.251]],
  "ef_mev_per_atom": -10,
  "n_ef_per_ev_cell": 3.59
}

# 12
{
  "formula": "Ca2HgIr",
  "functional": "PBE",
  "state": "optimized geometry",
  "cell": [[3.466, 0.000, 0.000], [0.000, 3.466, 0.000], [0.000, 0.000, 7.825]],
  "species": ["Ca", "Ca", "Hg", "Ir"],
  "frac_coords": [[0.000, 0.000, 0.215], [0.000, 0.000, 0.785], [0.500, 0.500, 0.500], [0.500, 0.500, 0.000]],
  "ef_mev_per_atom": -364,
  "n_ef_per_ev_cell": 2.81
}

# 13
{
  "formula": "CaHg2Ir",
  "functional": "PBE",
  "state": "optimized geometry",
  "cell": [[5.984, 0.000, 0.000], [0.000, 10.144, 0.000], [-1.819, 0.000, 2.865]],
  "species": ["Ca", "Ca", "Hg", "Hg", "Hg", "Hg", "Ir", "Ir"],
  "frac_coords": [[0.000, 0.000, 0.000], [0.500, 0.500, 0.000], [0.250, 0.250, 0.500], [0.250, 0.750, 0.500], [0.750, 0.250, 0.500], [0.750, 0.750, 0.500], [0.000, 0.500, 0.000], [0.500, 0.000, 0.000]],
  "ef_mev_per_atom": 102,
  "n_ef_per_ev_cell": 2.83
}

# 14
{
  "formula": "CaHg2Ir",
  "functional": "PBE",
  "state": "optimized geometry",
  "cell": [[3.272, 0.000, 0.000], [0.000, 4.708, 0.000], [-1.554, 0.000, 5.602]],
  "species": ["Ca", "Hg", "Hg", "Ir"],
  "frac_coords": [[0.000, 0.000, 0.000], [0.353, 0.500, 0.730], [0.647, 0.500, 0.270], [0.500, 0.000, 0.500]],
  "ef_mev_per_atom": -10,
  "n_ef_per_ev_cell": 1.50
}

# 15
{
  "formula": "Ca5Hg2Ir",
  "functional": "PBE",
  "state": "optimized geometry",
  "cell": [[7.957, 0.000, 0.000], [0.000, 12.751, 0.000], [0.000, 0.000, 4.647]],
  "species": ["Ca", "Ca", "Ca", "Ca", "Ca", "Ca", "Ca", "Ca", "Ca", "Ca", "Hg", "Hg", "Hg", "Hg", "Ir", "Ir"],
  "frac_coords": [[0.000, 0.000, 0.000], [0.147, 0.302, 0.000], [0.173, 0.577, 0.500], [0.327, 0.077, 0.500], [0.353, 0.802, 0.000], [0.500, 0.500, 0.000], [0.647, 0.198, 0.000], [0.673, 0.923, 0.500], [0.827, 0.423, 0.500], [0.853, 0.698, 0.000], [0.061, 0.832, 0.500], [0.439, 0.332, 0.500], [0.561, 0.668, 0.500], [0.939, 0.168, 0.500], [0.000, 0.500, 0.000], [0.500, 0.000, 0.000]],
  "ef_mev_per_atom": -405,
  "n_ef_per_ev_cell": 9.10
}

# 16
{
  "formula": "Ca2HgIr",
  "functional": "PBE",
  "state": "optimized geometry",
  "cell": [[3.387, 0.000, 0.000], [0.000, 4.902, 0.000], [0.000, 0.000, 12.133]],
  "species": ["Ca", "Ca", "Ca", "Ca", "Hg", "Hg", "Ir", "Ir"],
  "frac_coords": [[0.000, 0.000, 0.000], [0.000, 0.500, 0.197], [0.500, 0.000, 0.697], [0.500, 0.500, 0.500], [0.000, 0.500, 0.809], [0.500, 0.000, 0.309], [0.000, 0.000, 0.498], [0.500, 0.500, 0.998]],
  "ef_mev_per_atom": -249,
  "n_ef_per_ev_cell": 3.87
}

# 17
{
  "formula": "Ca6Hg2Ir",
  "functional": "PBE",
  "state": "optimized geometry",
  "cell": [[6.853, 0.000, 0.000], [0.000, 8.210, 0.000], [-6.751, 0.000, 10.408]],
  "species": ["Ca", "Ca", "Ca", "Ca", "Ca", "Ca", "Ca", "Ca", "Ca", "Ca", "Ca", "Ca", "Hg", "Hg", "Hg", "Hg", "Ir", "Ir"],
  "frac_coords": [[0.093, 0.192, 0.444], [0.093, 0.308, 0.944], [0.284, 0.668, 0.444], [0.284, 0.832, 0.944], [0.372, 0.029, 0.250], [0.372, 0.471, 0.750], [0.628, 0.529, 0.250], [0.628, 0.971, 0.750], [0.716, 0.168, 0.056], [0.716, 0.332, 0.556], [0.907, 0.692, 0.056], [0.907, 0.808, 0.556], [0.179, 0.113, 0.742], [0.179, 0.387, 0.242], [0.821, 0.613, 0.758], [0.821, 0.887, 0.258], [0.000, 0.000, 0.000], [0.000, 0.500, 0.500]],
  "ef_mev_per_atom": -366,
  "n_ef_per_ev_cell": 10.06
}

# 18
{
  "formula": "Ca2HgIr",
  "functional": "PBE",
  "state": "optimized geometry",
  "cell": [[7.076, 0.000, 0.000], [0.000, 7.076, 0.000], [0.000, 0.000, 7.076]],
  "species": ["Ca", "Ca", "Ca", "Ca", "Ca", "Ca", "Ca", "Ca", "Hg", "Hg", "Hg", "Hg", "Ir", "Ir", "Ir", "Ir"],
  "frac_coords": [[0.000, 0.000, 0.000], [0.000, 0.500, 0.500], [0.250, 0.250, 0.250], [0.250, 0.750, 0.750], [0.500, 0.000, 0.500], [0.500, 0.500, 0.000], [0.750, 0.250, 0.750], [0.750, 0.750, 0.250], [0.250, 0.250, 0.750], [0.250, 0.750, 0.250], [0.750, 0.250, 0.250], [0.750, 0.750, 0.750], [0.000, 0.000, 0.500], [0.000, 0.500, 0.000], [0.500, 0.000, 0.000], [0.500, 0.500, 0.500]],
  "ef_mev_per_atom": -106,
  "n_ef_per_ev_cell": 16.04
}

# 19
{
  "formula": "Ca8Hg2Ir",
  "functional": "PBE",
  "state": "optimized geometry",
  "cell": [[9.357, -2.685, 0.000], [9.357, 2.685, 0.000], [-2.214, 0.000, 6.793]],
  "species": ["Ca", "Ca", "Ca", "Ca", "Ca", "Ca", "Ca", "Ca", "Hg", "Hg", "Ir"],
  "frac_coords": [[0.025, 0.025, 0.302], [0.209, 0.209, 0.802], [0.350, 0.350, 0.543], [0.410, 0.410, 0.086], [0.590, 0.590, 0.914], [0.650, 0.650, 0.457], [0.791, 0.791, 0.198], [0.975, 0.975, 0.698], [0.183, 0.183, 0.216], [0.817, 0.817, 0.784], [0.500, 0.500, 0.500]],
  "ef_mev_per_atom": -301,
  "e_above_lowest_polymorph_ev_per_fu": 0.00,
  "n_ef_per_ev_cell": 11.83
}

# 20
{
  "formula": "Ca2HgIr",
  "functional": "PBE",
  "state": "optimized geometry",
  "cell": [[7.406, 0.000, 0.000], [0.000, 4.175, 0.000], [-2.322, 0.000, 7.294]],
  "species": ["Ca", "Ca", "Ca", "Ca", "Hg", "Hg", "Ir", "Ir"],
  "frac_coords": [[0.231, 0.000, 0.194], [0.269, 0.500, 0.806], [0.731, 0.500, 0.194], [0.769, 0.000, 0.806], [0.000, 0.000, 0.500], [0.500, 0.500, 0.500], [0.000, 0.500, 0.000], [0.500, 0.000, 0.000]],
  "ef_mev_per_atom": -146,
  "n_ef_per_ev_cell": 3.60
}

# 21
{
  "formula": "Ca8HgIr2",
  "functional": "PBE",
  "state": "optimized geometry",
  "cell": [[4.509, -6.598, 0.000], [4.509, 6.598, 0.000], [-1.352, 0.000, 5.618]],
  "species": ["Ca", "Ca", "Ca", "Ca", "Ca", "Ca", "Ca", "Ca", "Hg", "Ir", "Ir"],
  "frac_coords": [[0.000, 0.000, 0.000], [0.046, 0.319, 0.622], [0.135, 0.625, 0.207], [0.319, 0.046, 0.622], [0.441, 0.713, 0.790], [0.625, 0.135, 0.207], [0.713, 0.441, 0.790], [0.765, 0.765, 0.421], [0.380, 0.380, 0.286], [0.065, 0.696, 0.709], [0.696, 0.065, 0.709]],
  "ef_mev_per_atom": -308,
  "n_ef_per_ev_cell": 7.50
}

# 22
{
  "formula": "CaHg2Ir",
  "functional": "PBE",
  "state": "optimized geometry",
  "cell": [[3.635, 0.000, 0.000], [0.000, 3.635, 0.000], [0.000, 0.000, 6.409]],
  "species": ["Ca", "Hg", "Hg", "Ir"],
  "frac_coords": [[0.000, 0.000, 0.000], [0.500, 0.500, 0.275], [0.500, 0.500, 0.725], [0.000, 0.000, 0.500]],
  "ef_mev_per_atom": 27,
  "n_ef_per_ev_cell": 2.26
}

# 23
{
  "formula": "Ca2HgIr",
  "functional": "PBE",
  "state": "optimized geometry",
  "cell": [[3.411, 0.000, 0.000], [0.000, 4.601, 0.000], [0.000, 0.000, 6.124]],
  "species": ["Ca", "Ca", "Hg", "Ir"],
  "frac_coords": [[0.000, 0.000, 0.000], [0.500, 0.500, 0.353], [0.000, 0.000, 0.533], [0.500, 0.500, 0.856]],
  "ef_mev_per_atom": -64,
  "n_ef_per_ev_cell": 2.91
}

# 24
{
  "formula": "CaHg2Ir",
  "functional": "PBE",
  "state": "optimized geometry",
  "cell": [[6.966, 0.000, 0.000], [0.000, 6.966, 0.000], [0.000, 0.000, 6.966]],
  "species": ["Ca", "Ca", "Ca", "Ca", "Hg", "Hg", "Hg", "Hg", "Hg", "Hg", "Hg", "Hg", "Ir", "Ir", "Ir", "Ir"],
  "frac_coords": [[0.000, 0.000, 0.000], [0.000, 0.500, 0.500], [0.500, 0.000, 0.500], [0.500, 0.500, 0.000], [0.000, 0.000, 0.500], [0.000, 0.500, 0.000], [0.250, 0.250, 0.250], [0.250, 0.750, 0.750], [0.500, 0.000, 0.000], [0.500, 0.500, 0.500], [0.750, 0.250, 0.750], [0.750, 0.750, 0.250], [0.250, 0.250, 0.750], [0.250, 0.750, 0.250], [0.750, 0.250, 0.250], [0.750, 0.750, 0.750]],
  "ef_mev_per_atom": 45,
  "n_ef_per_ev_cell": 5.34
}

# 25
{
  "formula": "CaHg2Ir",
  "functional": "PBE",
  "state": "optimized geometry",
  "cell": [[4.344, 0.000, 0.000], [0.000, 4.344, 0.000], [0.000, 0.000, 20.058]],
  "species": ["Ca", "Ca", "Ca", "Ca", "Hg", "Hg", "Hg", "Hg", "Hg", "Hg", "Hg", "Hg", "Ir", "Ir", "Ir", "Ir"],
  "frac_coords": [[0.000, 0.000, 0.000], [0.000, 0.500, 0.250], [0.500, 0.000, 0.750], [0.500, 0.500, 0.500], [0.209, 0.250, 0.625], [0.250, 0.709, 0.875], [0.250, 0.791, 0.375], [0.291, 0.250, 0.125], [0.709, 0.750, 0.125], [0.750, 0.209, 0.375], [0.750, 0.291, 0.875], [0.791, 0.750, 0.625], [0.000, 0.000, 0.500], [0.000, 0.500, 0.750], [0.500, 0.000, 0.250], [0.500, 0.500, 0.000]],
  "ef_mev_per_atom": 112,
  "n_ef_per_ev_cell": 5.60
}

# 26
{
  "formula": "Ca2HgIr",
  "functional": "PBE",
  "state": "optimized geometry",
  "cell": [[4.379, 0.000, 0.000], [0.000, 4.379, 0.000], [0.000, 0.000, 9.403]],
  "species": ["Ca", "Ca", "Ca", "Ca", "Hg", "Hg", "Ir", "Ir"],
  "frac_coords": [[0.000, 0.000, 0.000], [0.000, 0.500, 0.250], [0.500, 0.000, 0.750], [0.500, 0.500, 0.500], [0.000, 0.500, 0.750], [0.500, 0.000, 0.250], [0.000, 0.000, 0.500], [0.500, 0.500, 0.000]],
  "ef_mev_per_atom": -199,
  "n_ef_per_ev_cell": 3.50
}